Record 1
Compound: Cs2TcNi2S4
Source: the Alexandria database
Functional: GGA-PBE
Structure: relaxed

Structure (POSCAR):
```
Cs2TcNi2S4
1.0
3.743 0.000 0.000
0.000 7.955 0.821
-1.871 -2.345 6.218
Cs Tc Ni S
2 1 2 4
Cartesian
0.000 3.866 2.209
1.871 1.744 4.830
0.000 0.000 0.000
1.871 7.043 2.897
0.000 -1.433 4.142
0.000 0.224 2.493
1.871 5.386 4.547
1.871 6.295 0.832
0.000 -0.685 6.207
```

space-group type	C2/m
electronic total energy	-5.027	eV/atom

Record 2
Compound: La3Pr4Sn4
Source: the Alexandria database
Functional: GGA-PBE
Structure: relaxed

Structure (POSCAR):
```
La3Pr4Sn4
1.0
4.237 0.000 0.000
0.000 9.362 0.000
-2.119 -4.681 9.258
La Pr Sn
3 4 4
Cartesian
0.000 0.000 1.731
2.119 4.681 7.526
0.000 4.681 0.000
0.000 -1.645 6.100
2.119 3.036 3.157
2.119 6.326 3.157
0.000 1.645 6.100
0.000 4.681 5.037
2.119 0.000 4.221
2.119 7.266 0.000
2.119 2.096 0.000
```

space-group type	Immm
formation enthalpy at 0 K	-56.4	kJ/mol of atoms

Record 3
Compound: AcUAu2O8
Source: the Alexandria database
Functional: GGA-PBE
Structure: relaxed

Structure (POSCAR):
```
AcUAu2O8
1.0
-2.848 4.483 3.442
-4.127 -2.268 -4.229
1.972 -4.674 3.785
Ac U Au O
1 1 2 8
Cartesian
0.000 0.000 0.000
-2.821 -2.917 -0.419
-2.181 0.459 3.417
-3.487 1.108 -0.393
-0.551 0.016 2.417
-2.491 -0.875 -0.325
0.422 -2.515 3.654
-0.834 -0.045 4.753
-5.145 1.532 1.020
-3.322 2.054 3.321
-4.019 -0.191 3.177
-2.791 -3.059 1.647
```

space-group type	I-4m2
electronic total energy	-6.589	eV/atom

no.,DOS at the Fermi energy (states/eV/f.u.),V (Å³/f.u.)
1,6.83,192.33
2,12.59,367.25
3,7.72,195.15